DFT (PBE+U) results for an optimized crystal structure of PuTlNi2O5.

DFT total energy (eV per atom): -6.546

Unit cell a=4.7316 b=5.8954 c=6.0243 alpha=119.29 beta=113.12 gamma=90.00
With the nearest neighbours (Å) after each atom.
Sites, in units of the cell vectors:
1 O 0.3410 0.6055 0.6819  1 Ni 1.93, 1 Pu 2.04
2 O 0.6590 0.9236 0.3181  1 Ni 1.93, 1 Pu 2.04
3 O 0.3410 0.0764 0.6819  1 Ni 1.93, 1 Pu 2.04
4 O 0.0000 0.0000 0.0000  2 Ni 2.06
5 O 0.6590 0.3945 0.3181  1 Ni 1.93, 1 Pu 2.04
6 Ni 0.2197 0.2197 0.4394  3 O 1.93-2.06
7 Ni 0.7803 0.7803 0.5606  3 O 1.93-2.06
8 Tl 0.0000 0.5000 0.0000  10 O 2.95-3.20
9 Pu 0.5000 0.0000 0.0000  4 O 2.04